1.
The following is a DFT calculation (PBE-GGA) of a relaxed structure of SrLa4Br2.

abc: 6.0849 6.0849 8.6445
angles: 69.39 69.39 90.00
Last column: nearest neighbours and their distance in Å.
Fractional coordinates of all 7 atoms:
1 La 0.0000 0.5000 0.0000  2 Sr 3.04
2 La 0.7935 0.7935 0.4129  1 Br 2.85, 1 Sr 3.10
3 La 0.2065 0.2065 0.5871  1 Br 2.85, 1 Sr 3.10
4 La 0.5000 0.0000 0.0000  2 Sr 3.04
5 Br 0.6034 0.6034 0.7932  1 La 2.85, 1 Br 3.10
6 Br 0.3966 0.3966 0.2068  1 La 2.85, 1 Br 3.10
7 Sr 0.0000 0.0000 0.0000  6 La 3.04-3.10

## Properties
VASP energy in eV per cell: -24.00
Theoretical density in g/cm3: 4.8
Energy relative to the elements, uncorrected in eV/atom: 0.106
Space-group type: I4/mmm (139)

=====

2.
The following is a DFT calculation (PBE-GGA) of a relaxed structure of SrLa2Br.

abc: 6.7232 6.7232 6.7232
angles: 136.30 136.30 63.51
Last column: nearest neighbours and their distance in Å.
Fractional coordinates of all 4 atoms:
1 Br 0.7500 0.2500 0.5000  8 La 3.54-3.80, 4 Sr 3.80
2 La 0.2500 0.7500 0.5000  4 Br 3.54, 4 Sr 3.80, 4 La 3.80
3 La 0.0000 0.0000 0.0000  4 Sr 3.54, 4 La 3.80, 4 Br 3.80
4 Sr 0.5000 0.5000 0.0000  8 La 3.54-3.80, 4 Br 3.80

## Properties
VASP energy in eV per cell: -13.60
Theoretical density in g/cm3: 5.2
Energy relative to the elements, uncorrected in eV/atom: -0.099
Space-group type: I-4m2 (119)
ΔE to the lowest computed polymorph in meV per atom: 533

=====

3.
The following is a DFT calculation (PBE-GGA) of a relaxed structure of SrLaBr2.

abc: 10.3683 10.3709 3.9522
angles: 90.02 90.02 21.92
Last column: nearest neighbours and their distance in Å.
Fractional coordinates of all 4 atoms:
1 Br 0.0274 0.0264 0.8753  4 La 3.13
2 Br 0.2199 0.2209 0.3748  4 Sr 3.18
3 Sr 0.7954 0.7959 0.8749  4 Br 3.18
4 La 0.4573 0.4568 0.3750  4 Br 3.13

## Properties
VASP energy in eV per cell: -15.20
Theoretical density in g/cm3: 4.0
Energy relative to the elements, uncorrected in eV/atom: -1.311
Space-group type: Amm2 (38)
ΔE to the lowest computed polymorph in meV per atom: 14

=====

The highest VASP energy belongs to which entry? SrLa2Br

=====

Please write out number 2 again, unchanged.
The following is a DFT calculation (PBE-GGA) of a relaxed structure of SrLa2Br.

abc: 6.7232 6.7232 6.7232
angles: 136.30 136.30 63.51
Last column: nearest neighbours and their distance in Å.
Fractional coordinates of all 4 atoms:
1 Br 0.7500 0.2500 0.5000  8 La 3.54-3.80, 4 Sr 3.80
2 La 0.2500 0.7500 0.5000  4 Br 3.54, 4 Sr 3.80, 4 La 3.80
3 La 0.0000 0.0000 0.0000  4 Sr 3.54, 4 La 3.80, 4 Br 3.80
4 Sr 0.5000 0.5000 0.0000  8 La 3.54-3.80, 4 Br 3.80

## Properties
VASP energy in eV per cell: -13.60
Theoretical density in g/cm3: 5.2
Energy relative to the elements, uncorrected in eV/atom: -0.099
Space-group type: I-4m2 (119)
ΔE to the lowest computed polymorph in meV per atom: 533